## NdCr2CdO8 (PBE with a Hubbard U)

Data for an optimized crystal structure of NdCr2CdO8.

The value obtained for the total magnetic moment is 2.0 Bohr magnetons per cell. The value obtained for the total DFT energy (no corrections) is -6.7413 eV/atom. Its crystal system is tetragonal. As for the density: 4.67 Mg/m³.

The structure belongs to space group I-4m2 (No. 119); the cell edges are 7.3829, 7.3829 and 6.3709 Å and the angles 90.00°, 90.00° and 90.00°. Symmetry generates all atoms from Nd at (0.0000, 0.0000, 0.0000), Cr at (0.0000, 0.0000, 0.5000), Cr at (0.0000, 0.5000, 0.2500), Cd at (0.0000, 0.5000, 0.7500), O at (0.0000, 0.1774, 0.6620) and O at (0.0000, 0.3164, 0.0827).